VASP calculation (PBE) on a geometry-optimized ZnSi2As structure.

Results
The calculation puts the electronic total energy at -3.831 eV/atom. The density of states at the Fermi level is 1.611 states/eV per cell. Its total magnetization is 0.00 μB/f.u. The offset from the most stable computed form comes out at 136 meV per atom. The uncorrected formation energy comes out at 0.361 eV/atom.

abc: 5.7251 5.7251 5.7251
angles: 144.40 141.10 53.75
With the nearest neighbours (Å) after each atom.
Element x y z (fractional)
1 As 0.8032 0.3032 0.5000  6 Si 2.73-2.84, 2 Zn 2.77
2 Si 0.0079 0.0079 0.0000  2 Si 2.55, 4 Zn 2.59, 2 As 2.73
3 Si 0.1892 0.6892 0.5000  2 Si 2.55, 2 Zn 2.72, 4 As 2.84
4 Zn 0.4997 0.4997 0.0000  6 Si 2.59-2.72, 2 As 2.77

VASP calculation (PBE) on a geometry-optimized ZnSi2As structure.

Results
The calculation puts the electronic total energy at -3.911 eV/atom. The density of states at the Fermi level is 1.033 states/eV per cell. Its total magnetization is 0.00 μB/f.u. The offset from the most stable computed form comes out at 56 meV per atom. The uncorrected formation energy comes out at 0.281 eV/atom.

abc: 5.8961 5.8961 4.5951
angles: 112.84 112.84 27.06
With the nearest neighbours (Å) after each atom.
Element x y z (fractional)
1 As 0.7500 0.7500 0.7500  2 Si 2.63, 4 Zn 2.68, 2 As 2.76
2 Si 0.0003 0.0003 0.0020  1 Zn 2.62, 1 As 2.63, 6 Si 2.67-2.76
3 Si 0.4997 0.4997 0.4980  1 Zn 2.62, 1 As 2.63, 6 Si 2.67-2.76
4 Zn 0.2500 0.2500 0.2500  2 Si 2.62, 4 As 2.68, 2 Zn 2.76

VASP calculation (PBE) on a geometry-optimized Zn4SiAs structure.

Results
The calculation puts the electronic total energy at -2.225 eV/atom. The density of states at the Fermi level is 2.093 states/eV per cell. Its total magnetization is 0.00 μB/f.u. The uncorrected formation energy comes out at 0.303 eV/atom.

abc: 5.2003 5.2003 5.2003
angles: 60.00 60.00 60.00
With the nearest neighbours (Å) after each atom.
Element x y z (fractional)
1 Zn 0.8766 0.3745 0.3745  6 Zn 2.59-2.61
2 Zn 0.3745 0.3745 0.8766  6 Zn 2.59-2.61
3 Zn 0.3745 0.8766 0.3745  6 Zn 2.59-2.61
4 Zn 0.3745 0.3745 0.3745  6 Zn 2.59-2.61
5 Si 0.0000 0.0000 0.0000  12 Zn 3.05, 4 As 3.18
6 As 0.7500 0.7500 0.7500  12 Zn 3.05, 4 Si 3.18

What is the formula in the first record?
ZnSi2As

Number 1 is which compound?
ZnSi2As